Here is Sr2FeIO6 after structural relaxation from Alexandria via LeMat-Bulk. Energies are from PBE with a Hubbard U.

Cell lengths 5.805, 5.805, 5.749 Å; angles 59.67, 59.67, 60.00 degrees
Each line ends with the local moment (μB).
Fractional coordinates of all 10 atoms:
O (0.062, 0.508, 0.800)  0.09
O (0.508, 0.630, 0.800)  0.09
O (0.630, 0.062, 0.799)  0.09
O (0.570, 0.124, 0.304)  0.09
O (0.124, 0.002, 0.304)  0.09
O (0.002, 0.570, 0.305)  0.09
Fe (0.816, 0.816, 0.551)  4.28
I (0.316, 0.316, 0.051)  0.07
Sr (0.568, 0.567, 0.298)  0.00
Sr (0.065, 0.066, 0.803)  0.00

Values from the calculation:
total magnetic moment: 5.0 μB/f.u.
space-group type: R3
uncorrected energy: -57.14 eV/f.u.